Computed, not measured: a PBEsol-optimized structure of Nb4Fe4Si7 at the SCAN level of DFT.

Summary:
- ΔE_f (raw) (eV per formula unit) = -8.39
- size of the total moment (μB/atom) = 0.271
- DFT total energy (eV/f.u.) = -283.54

Cell: 12.4671 12.4671 4.9737 Å, 90.00 90.00 90.00°
Space group I4/mmm (No. 139)
Inequivalent atoms, fractional coordinates:
Nb (0.0000, 0.1927, 0.0000) [8 per cell]
Nb (0.1354, 0.1354, 0.5000) [8 per cell]
Fe (0.1496, 0.3504, 0.2500) [16 per cell]
Si (0.0000, 0.0000, 0.2512) [4 per cell]
Si (0.0000, 0.2990, 0.5000) [8 per cell]
Si (0.0000, 0.4049, 0.0000) [8 per cell]
Si (0.2094, 0.2094, 0.0000) [8 per cell]